This record from Alexandria describes crystalline Al6ZnAg12 at its relaxed geometry. The functional is GGA-PBE.

Geometry as POSCAR:
```
Al6ZnAg12
1.0
7.365 -0.555 -0.664
-1.665 7.196 -0.664
-1.665 -1.940 6.962
Al Ag Zn
6 12 1
direct
0.344 0.644 0.756
0.244 0.656 0.356
0.644 0.756 0.344
0.656 0.356 0.244
0.356 0.244 0.656
0.756 0.344 0.644
0.980 0.112 0.677
0.888 0.323 0.020
0.415 0.059 0.323
0.585 0.941 0.677
0.323 0.020 0.888
0.112 0.677 0.980
0.941 0.677 0.585
0.677 0.585 0.941
0.323 0.415 0.059
0.059 0.323 0.415
0.677 0.980 0.112
0.020 0.888 0.323
0.000 0.000 0.000
```

Calculated values
Its energy is -3.04 eV/atom. Its excess energy over the best structure of this formula in the dataset is 0.0364 eV/atom. Its density of states at the Fermi level is 6.9 states/eV/f.u. Its energy relative to the elements is 0.005 eV/atom.